Li4SiSbAu2 (PBE-GGA, relaxed); E_tot = -3.48 eV/atom; symmetry = P-4m2, No. 115
1.0
4.401 0.000 0.000
0.000 4.401 0.000
0.000 0.000 6.503
Li Si Sb Au
4 1 1 2
Direct
0.000 0.000 0.000
0.000 0.500 0.728
0.500 0.000 0.272
0.500 0.500 0.500
0.000 0.000 0.500
0.500 0.500 0.000
0.000 0.500 0.290
0.500 0.000 0.710



ErTmTlN (PBE-GGA, relaxed); E_tot = -5.96 eV/atom; symmetry = P-6m2, No. 187
1.0
3.484 0.000 0.000
-1.742 3.017 0.000
0.000 0.000 15.534
Er Tm Tl N
2 2 2 2
Direct
0.000 0.000 0.166
0.000 0.000 0.834
0.333 0.667 0.334
0.333 0.667 0.666
0.000 0.000 0.500
0.333 0.667 0.000
0.667 0.333 0.251
0.667 0.333 0.749



KZn3 (PBE-GGA, relaxed); E_tot = -1.04 eV/atom; offset from the most stable computed form = 49.8 kJ/mol of formula units; symmetry = P6_3/mmc, No. 194
1.0
6.677 0.000 0.000
-3.339 5.783 0.000
0.000 0.000 4.731
K Zn
2 6
Direct
0.333 0.667 0.250
0.667 0.333 0.750
0.136 0.271 0.750
0.136 0.864 0.750
0.271 0.136 0.250
0.729 0.864 0.750
0.864 0.136 0.250
0.864 0.729 0.250